VASP calculation (PBE) on an optimized crystal structure of Sc4InSe.

```
data_Sc4InSe
_chemical_formula_sum 'Sc16 In4 Se4'
_cell_length_a 8.2679
_cell_length_b 8.2679
_cell_length_c 8.2679
_cell_angle_alpha 90.00
_cell_angle_beta 90.00
_cell_angle_gamma 90.00
_symmetry_space_group_name_H-M 'F -4 3 m'
_symmetry_Int_Tables_number 216
_symmetry_space_group_name_Hall 'F -4 2 3'
loop_
_atom_site_label
_atom_site_type_symbol
_atom_site_fract_x
_atom_site_fract_y
_atom_site_fract_z
Sc1 Sc 0.1238 0.1238 0.3762
In1 In 0.2500 0.2500 0.7500
Se1 Se 0.0000 0.0000 0.0000
```

Values from the calculation:
The density of states at the Fermi level is 7.323 states/eV/f.u. The energy relative to the elements, uncorrected is 0.0250 eV/atom.